1.
An optimized crystal structure of KMgAg, computed with GGA-PBE.

N(E_F): 0.8 states/eV per cell
Excess energy over the best structure of this formula in the dataset: 90 meV per atom
Total magnetization: 0.0 μB/f.u.

abc: 4.813 4.813 5.016
angles: 90.00 90.00 120.00
Fractional coordinates of all 3 atoms:
K 0.667 0.333 0.333
Mg 0.333 0.667 0.833
Ag 0.000 0.000 0.833

***

2.
An optimized crystal structure of K2MgAg, computed with GGA-PBE.

Raw total energy: -6.49 eV/cell
N(E_F): 2.1 states/eV per cell
Total magnetization: 0.0 μB/f.u.

abc: 4.819 4.819 9.175
angles: 75.55 75.55 59.86
Fractional coordinates of all 4 atoms:
K 0.786 0.786 0.653
K 0.963 0.963 0.097
Mg 0.542 0.542 0.375
Ag 0.209 0.209 0.375

***

Q: What is the N(E_F) in the second record?
A: 2.1 states/eV per cell

***

Q: N(E_F) of number 1 (KMgAg)?
A: 0.8 states/eV per cell